First-principles (PBE-GGA) data for a relaxed H2I2Br crystal, as listed in Alexandria via LeMat-Bulk.

abc: 6.2991 7.5890 8.6935
angles: 65.29 73.23 69.56
Atoms (fractional coordinates):
H1 0.0039 0.0737 0.2237
H2 0.4767 0.1487 0.1825
H3 0.5233 0.8513 0.8175
H4 0.9961 0.9263 0.7763
I1 0.1485 0.0964 0.6715
I2 0.2817 0.2902 0.0567
I3 0.7183 0.7098 0.9433
I4 0.8515 0.9036 0.3285
Br1 0.3172 0.6082 0.4576
Br2 0.6828 0.3918 0.5424

## Properties
The space-group type is P-1 (2).

---

First-principles (PBE-GGA) data for a relaxed Pm8Y3Tm2 crystal, as listed in Alexandria via LeMat-Bulk.

abc: 10.8354 10.8354 5.7281
angles: 90.02 90.02 41.82
Atoms (fractional coordinates):
Pm1 0.0981 0.6870 0.9999
Pm2 0.1731 0.1731 0.5006
Pm3 0.3130 0.9019 0.0001
Pm4 0.3670 0.3670 0.5004
Pm5 0.6330 0.6330 0.4996
Pm6 0.6870 0.0981 0.9999
Pm7 0.8269 0.8269 0.4994
Pm8 0.9019 0.3130 0.0001
Y1 0.2146 0.7854 0.5000
Y2 0.5000 0.5000 0.0000
Y3 0.7854 0.2146 0.5000
Tm1 0.2598 0.2598 0.0007
Tm2 0.7402 0.7402 0.9993

## Properties
For the distance to the lowest polymorph of the same formula, the calculation gives 0.1381 eV per atom. The space-group type is C2/m (12). Its formation energy is 0.207 eV per atom.

---

First-principles (PBE-GGA) data for a relaxed MnGa crystal, as listed in Alexandria via LeMat-Bulk.

abc: 5.5254 5.5254 5.5254
angles: 98.32 98.32 135.27
Atoms (fractional coordinates):
Mn1 0.1582 0.1582 0.3164
Mn2 0.1582 0.8418 0.0000
Mn3 0.8418 0.1582 0.0000
Mn4 0.8418 0.8418 0.6836
Ga1 0.2226 0.5000 0.7226
Ga2 0.5000 0.2226 0.7226
Ga3 0.5000 0.7774 0.2774
Ga4 0.7774 0.5000 0.2774

## Properties
The space-group type is I4/mmm (139). Its formation energy is 0.029 eV per atom.

---

First-principles (PBE-GGA) data for a relaxed TaOsPbO6 crystal, as listed in Alexandria via LeMat-Bulk.

abc: 7.3844 7.3844 7.3844
angles: 121.95 119.56 88.71
Atoms (fractional coordinates):
Ta1 0.0000 0.0000 0.0000
Ta2 0.5000 0.0000 0.5000
Os1 0.5000 0.0000 0.0000
Os2 0.5000 0.5000 0.5000
Pb1 0.0343 0.2843 0.7500
Pb2 0.9657 0.7157 0.2500
O1 0.1820 0.3245 0.2506
O2 0.1820 0.9314 0.8574
O3 0.1848 0.9348 0.2500
O4 0.4261 0.0686 0.7506
O5 0.4261 0.6755 0.3574
O6 0.4557 0.7057 0.7500
O7 0.5443 0.2943 0.2500
O8 0.5739 0.3245 0.6426
O9 0.5739 0.9314 0.2494
O10 0.8152 0.0652 0.7500
O11 0.8180 0.0686 0.1426
O12 0.8180 0.6755 0.7494

## Properties
The raw formation energy is -1614.6 meV per atom. The space-group type is Imma (74).

---

First-principles (PBE-GGA) data for a relaxed Ce2OsRh crystal, as listed in Alexandria via LeMat-Bulk.

abc: 4.0143 4.0143 6.9097
angles: 106.92 106.92 60.12
Atoms (fractional coordinates):
Ce1 0.2473 0.2473 0.2420
Ce2 0.7527 0.7527 0.7580
Os1 0.5000 0.5000 0.0000
Rh1 0.0000 0.0000 0.5000

## Properties
The space-group type is C2/m (12). Its formation energy is -0.319 eV per atom.

---

First-principles (PBE-GGA) data for a relaxed Sm2RhSe crystal, as listed in Alexandria via LeMat-Bulk.

abc: 7.6832 7.6832 7.6832
angles: 30.45 30.45 30.45
Atoms (fractional coordinates):
Sm1 0.0000 0.0000 0.0000
Sm2 0.1840 0.1840 0.1840
Rh1 0.5914 0.5914 0.5914
Se1 0.4251 0.4251 0.4251

## Properties
For the distance to the lowest polymorph of the same formula, the calculation gives 0.0855 eV per atom. The raw formation energy is -1174.9 meV per atom. The space-group type is R3m (160).

---

First-principles (PBE-GGA) data for a relaxed Co5Br crystal, as listed in Alexandria via LeMat-Bulk.

abc: 4.8202 4.8202 4.8202
angles: 60.00 60.00 60.00
Atoms (fractional coordinates):
Co1 0.0000 0.0000 0.0000
Co2 0.1217 0.6261 0.6261
Co3 0.6261 0.1217 0.6261
Co4 0.6261 0.6261 0.1217
Co5 0.6261 0.6261 0.6261
Br1 0.2500 0.2500 0.2500

## Properties
For the distance to the lowest polymorph of the same formula, the calculation gives 0.2196 eV per atom. The raw formation energy is 695.8 meV per atom. The space-group type is F-43m (216).

---

First-principles (PBE-GGA) data for a relaxed La4CdAg2Au crystal, as listed in Alexandria via LeMat-Bulk.

abc: 9.3846 9.3846 9.3846
angles: 33.67 33.67 33.67
Atoms (fractional coordinates):
La1 0.1194 0.1194 0.1194
La2 0.3696 0.3696 0.3696
La3 0.6304 0.6304 0.6304
La4 0.8806 0.8806 0.8806
Cd1 0.5000 0.5000 0.5000
Ag1 0.2422 0.2422 0.2422
Ag2 0.7578 0.7578 0.7578
Au1 0.0000 0.0000 0.0000

## Properties
The space-group type is R-3m (166). Its formation energy is -0.414 eV per atom.

---

First-principles (PBE-GGA) data for a relaxed ZnIn2F8 crystal, as listed in Alexandria via LeMat-Bulk.

abc: 5.7366 5.7366 4.5740
angles: 99.70 99.70 110.62
Atoms (fractional coordinates):
Zn1 0.0000 0.0000 0.0000
In1 0.3135 0.6865 0.5000
In2 0.6865 0.3135 0.5000
F1 0.0761 0.3481 0.6165
F2 0.2018 0.7982 0.0000
F3 0.3481 0.0761 0.6165
F4 0.3616 0.3616 0.2135
F5 0.6384 0.6384 0.7865
F6 0.6519 0.9239 0.3835
F7 0.7982 0.2018 0.0000
F8 0.9239 0.6519 0.3835

## Properties
For the distance to the lowest polymorph of the same formula, the calculation gives 0.0587 eV per atom. The raw formation energy is -2299.5 meV per atom. The space-group type is C2/m (12).

---

First-principles (PBE-GGA) data for a relaxed KCdHg2 crystal, as listed in Alexandria via LeMat-Bulk.

abc: 5.1857 5.1857 6.1850
angles: 114.15 114.15 58.82
Atoms (fractional coordinates):
K1 0.0000 0.0000 0.0000
Cd1 0.5000 0.5000 0.5000
Hg1 0.2174 0.2174 0.6522
Hg2 0.7826 0.7826 0.3478

## Properties
The space-group type is C2/m (12). Its formation energy is -0.151 eV per atom.

---

First-principles (PBE-GGA) data for a relaxed Mn2InPb crystal, as listed in Alexandria via LeMat-Bulk.

abc: 5.1218 5.1218 5.1218
angles: 128.91 128.91 75.16
Atoms (fractional coordinates):
Mn1 0.2500 0.7500 0.5000
Mn2 0.7500 0.2500 0.5000
In1 0.0000 0.0000 0.0000
Pb1 0.5000 0.5000 0.0000

## Properties
For the distance to the lowest polymorph of the same formula, the calculation gives 0.1396 eV per atom. The space-group type is I4/mmm (139). Its formation energy is 0.415 eV per atom.

---

First-principles (PBE-GGA) data for a relaxed ThTe2Pd crystal, as listed in Alexandria via LeMat-Bulk.

abc: 7.4099 7.4099 7.4099
angles: 33.83 33.83 33.83
Atoms (fractional coordinates):
Th1 0.0000 0.0000 0.0000
Te1 0.2417 0.2417 0.2417
Te2 0.4307 0.4307 0.4307
Pd1 0.8444 0.8444 0.8444

## Properties
For the distance to the lowest polymorph of the same formula, the calculation gives 0.2713 eV per atom. The raw formation energy is -720.9 meV per atom. The space-group type is R3m (160).

---

| no. | E (eV/cell) |
| --- | --- |
| 1 | -22.84 |
| 2 | -63.65 |
| 3 | -48.55 |
| 4 | -142.14 |
| 5 | -31.72 |
| 6 | -24.97 |
| 7 | -33.03 |
| 8 | -32.92 |
| 9 | -47.02 |
| 10 | -3.22 |
| 11 | -23.13 |
| 12 | -21.78 |